# 1
The following is a DFT calculation (PBE) of a relaxed Ti2TcIBr crystal.

Values from the calculation:
**Formation energy without anion corrections**: 1.703 eV per atom
**Calculated total energy**: -20.86 eV/cell

a b c (Å): 4.9888 4.9888 6.1201
angles (deg): 90.00 90.00 90.00
Closest atoms and distances in Å follow each position.
Space group P4/mmm (No. 123)
One atom of each set of equivalent atoms:
Ti: 0.0000 0.5000 0.0000  2 I 2.49
Tc: 0.0000 0.0000 0.5000  4 Br 3.53, 8 Ti 3.95
I: 0.5000 0.5000 0.0000  4 Ti 2.49
Br: 0.5000 0.5000 0.5000  2 I 3.06

=====

# 2
The following is a DFT calculation (PBE) of a relaxed Tl2TcIBr crystal.

Values from the calculation:
**Formation energy without anion corrections**: 0.521 eV per atom
**Calculated total energy**: -15.72 eV/cell

a b c (Å): 6.3418 6.3418 4.8231
angles (deg): 90.00 90.00 90.00
Closest atoms and distances in Å follow each position.
Space group P4/mmm (No. 123)
One atom of each set of equivalent atoms:
Tl: 0.0000 0.5000 0.0000  2 Br 3.17
Tc: 0.0000 0.0000 0.5000  2 Br 2.41
I: 0.5000 0.5000 0.5000  8 Tl 3.98
Br: 0.0000 0.0000 0.0000  2 Tc 2.41

=====

# 3
The following is a DFT calculation (PBE) of a relaxed Tl2TcI4Br2 crystal.

Values from the calculation:
**Formation energy without anion corrections**: -0.433 eV per atom
**Calculated total energy**: -57.07 eV/cell

a b c (Å): 13.1934 7.9554 8.0489
angles (deg): 90.00 127.15 90.00
Closest atoms and distances in Å follow each position.
Space group C2/m (No. 12)
One atom of each set of equivalent atoms:
Tl: 0.2478 0.0000 0.2388  1 Br 3.44, 4 I 3.64
Tc: 0.0000 0.0000 0.5000  2 Br 2.53, 4 I 2.75
I: 0.0386 0.2433 0.3009  1 Tc 2.75
Br: 0.2349 0.0000 0.7994  1 Tc 2.53

=====

# 4
The following is a DFT calculation (PBE) of a relaxed Tl2TcI2Br4 crystal.

Values from the calculation:
**Formation energy without anion corrections**: -0.535 eV per atom
**Calculated total energy**: -59.42 eV/cell

a b c (Å): 13.3643 7.4847 7.7873
angles (deg): 90.00 124.15 90.00
Closest atoms and distances in Å follow each position.
Space group C2/m (No. 12)
One atom of each set of equivalent atoms:
Tl: 0.2492 0.0000 0.2861  4 Br 3.43-3.44, 1 I 3.61
Tc: 0.0000 0.0000 0.5000  4 Br 2.54, 2 I 2.75
I: 0.2418 0.0000 0.8152  1 Tc 2.75
Br: 0.0381 0.2384 0.3116  1 Tc 2.54